VASP calculation (PBE) on a relaxed Ce7Bi4H4 crystal.

Cell lengths 11.1873, 11.1873, 11.1873 Å; angles 94.54, 94.54, 147.34 degrees
Fractional coordinates of all 30 atoms:
Ce 0.0000 0.2953 0.2953
Ce 0.0000 0.7047 0.7047
Ce 0.0904 0.5000 0.5904
Ce 0.2486 0.2486 0.0000
Ce 0.2939 0.2939 0.5878
Ce 0.2939 0.7061 0.0000
Ce 0.2953 0.0000 0.2953
Ce 0.5000 0.0904 0.5904
Ce 0.5000 0.9096 0.4096
Ce 0.7047 0.0000 0.7047
Ce 0.7061 0.2939 0.0000
Ce 0.7061 0.7061 0.4122
Ce 0.7514 0.7514 0.0000
Ce 0.9096 0.5000 0.4096
Bi 0.1438 0.1438 0.2876
Bi 0.1438 0.8562 0.0000
Bi 0.3018 0.5000 0.8018
Bi 0.5000 0.3018 0.8018
Bi 0.5000 0.6982 0.1982
Bi 0.6982 0.5000 0.1982
Bi 0.8562 0.1438 0.0000
Bi 0.8562 0.8562 0.7124
H 0.1322 0.6322 0.2644
H 0.1322 0.8678 0.5000
H 0.3678 0.6322 0.5000
H 0.3678 0.8678 0.7356
H 0.6322 0.1322 0.2644
H 0.6322 0.3678 0.5000
H 0.8678 0.1322 0.5000
H 0.8678 0.3678 0.7356

Values from the calculation:
SG: I4/mmm (139)
Final energy: -5.127 eV per atom



VASP calculation (PBE) on a relaxed CeBiH crystal.

Cell lengths 6.4165, 6.4165, 6.4165 Å; angles 148.14, 111.09, 77.93 degrees
Fractional coordinates of all 6 atoms:
Ce 0.1934 0.0000 0.1934
Ce 0.8066 0.0000 0.8066
Bi 0.3179 0.3179 0.0000
Bi 0.6821 0.6821 0.0000
H 0.0946 0.5946 0.5000
H 0.9054 0.4054 0.5000

Values from the calculation:
Excess energy over the best structure of this formula in the dataset: 283 meV/atom
SG: Immm (71)



VASP calculation (PBE) on a relaxed Ce7Bi3H2 crystal.

Cell lengths 13.1497, 13.1497, 4.6716 Å; angles 90.00, 90.00, 158.62 degrees
Fractional coordinates of all 12 atoms:
Ce 0.0000 0.0000 0.0000
Ce 0.0963 0.9037 0.5000
Ce 0.2030 0.7970 0.0000
Ce 0.4041 0.5959 0.0000
Ce 0.5959 0.4041 0.0000
Ce 0.7970 0.2030 0.0000
Ce 0.9037 0.0963 0.5000
Bi 0.3099 0.6901 0.5000
Bi 0.5000 0.5000 0.5000
Bi 0.6901 0.3099 0.5000
H 0.0988 0.9012 0.0000
H 0.9012 0.0988 0.0000

Values from the calculation:
Excess energy over the best structure of this formula in the dataset: 17 meV/atom
SG: Cmmm (65)



VASP calculation (PBE) on a relaxed Ce2Bi2H3 crystal.

Cell lengths 6.5021, 6.5021, 7.0356 Å; angles 119.96, 119.96, 33.38 degrees
Fractional coordinates of all 7 atoms:
Ce 0.1363 0.1363 0.2411
Ce 0.8637 0.8637 0.7589
Bi 0.1324 0.1324 0.7502
Bi 0.8676 0.8676 0.2498
H 0.3188 0.3188 0.5602
H 0.5000 0.5000 0.0000
H 0.6812 0.6812 0.4398

Values from the calculation:
SG: C2/m (12)
Final energy: -4.668 eV per atom



VASP calculation (PBE) on a relaxed Ce3BiH2 crystal.

Cell lengths 12.3907, 12.3907, 6.2479 Å; angles 102.54, 102.54, 16.57 degrees
Fractional coordinates of all 12 atoms:
Ce 0.0251 0.0251 0.3244
Ce 0.2354 0.2354 0.2240
Ce 0.3973 0.3973 0.1125
Ce 0.6027 0.6027 0.8875
Ce 0.7646 0.7646 0.7760
Ce 0.9749 0.9749 0.6756
Bi 0.3565 0.3565 0.5675
Bi 0.6435 0.6435 0.4325
H 0.0521 0.0521 0.9790
H 0.2996 0.2996 0.0021
H 0.7004 0.7004 0.9979
H 0.9479 0.9479 0.0210

Values from the calculation:
Excess energy over the best structure of this formula in the dataset: 105 meV/atom
SG: C2/m (12)



VASP calculation (PBE) on a relaxed Ce5Bi5H2 crystal.

Cell lengths 8.5745, 8.5745, 12.4649 Å; angles 129.48, 129.48, 27.72 degrees
Fractional coordinates of all 12 atoms:
Ce 0.0000 0.0000 0.0000
Ce 0.0788 0.0788 0.8045
Ce 0.3028 0.3028 0.3541
Ce 0.6972 0.6972 0.6459
Ce 0.9212 0.9212 0.1955
Bi 0.0000 0.0000 0.5000
Bi 0.3148 0.3148 0.9236
Bi 0.3793 0.3793 0.6904
Bi 0.6207 0.6207 0.3096
Bi 0.6852 0.6852 0.0764
H 0.3775 0.3775 0.2448
H 0.6225 0.6225 0.7552

Values from the calculation:
SG: C2/m (12)
Final energy: -5.273 eV per atom